MnSiRh2: optimized geometry, GGA-PBE.

a b c (Å): 5.1168 5.1168 5.1168
angles (deg): 147.18 131.36 59.93
Atoms (fractional coordinates):
Si1 0.5052 0.5052 0.0000
Mn1 0.2664 0.7664 0.5000
Rh1 0.0037 0.0037 0.0000
Rh2 0.7247 0.2247 0.5000

* VASP energy: -7.75 eV per atom
* space group: Imm2
* formation energy from raw total energies: -425 meV per atom